# PmAuO2

A geometry-optimized PmAuO2 structure (PBE, Alexandria via LeMat-Bulk).

Unit cell a=3.7516 b=3.7516 c=12.1271 alpha=90.00 beta=90.00 gamma=120.00
Closest atoms and distances in Å follow each position.
Positions (direct):
Pm  0.0000  0.0000  0.5000  6 O 2.38
Pm  0.0000  0.0000  0.0000  6 O 2.38
Au  0.6667  0.3333  0.7500  2 O 2.04
Au  0.3333  0.6667  0.2500  2 O 2.04
O  0.6667  0.3333  0.5820  1 Au 2.04
O  0.6667  0.3333  0.9180  1 Au 2.04
O  0.3333  0.6667  0.4180  1 Au 2.04
O  0.3333  0.6667  0.0820  1 Au 2.04

Computed properties:
density	8.4	g/cm3
calculated total energy	-53.1	eV per cell